Crystalline KErMoN3 at its relaxed geometry. Source: the Alexandria database, functional PBE-GGA.

```
data_KErMoN3
_space_group_name_H-M_alt 'P 1'
_space_group_IT_number 1
_cell_length_a 6.991
_cell_length_b 6.991
_cell_length_c 7.857
_cell_angle_alpha 103.37
_cell_angle_beta 103.37
_cell_angle_gamma 32.18
loop_
_space_group_symop_operation_xyz
'x,y,z'
loop_
_atom_site_label
_atom_site_type_symbol
_atom_site_fract_x
_atom_site_fract_y
_atom_site_fract_z
_atom_site_occupancy
K1 K 0.149 0.149 0.071 1
K2 K 0.851 0.851 0.929 1
Er1 Er 0.162 0.162 0.580 1
Er2 Er 0.838 0.838 0.420 1
Mo1 Mo 0.494 0.494 0.679 1
Mo2 Mo 0.506 0.506 0.321 1
N1 N 0.012 0.012 0.346 1
N2 N 0.337 0.337 0.631 1
N3 N 0.364 0.364 0.218 1
N4 N 0.636 0.636 0.782 1
N5 N 0.663 0.663 0.369 1
N6 N 0.988 0.988 0.654 1
```

Properties
- Raw total energy: -89.76 eV per cell
- Uncorrected formation energy: -54.9 kJ per mole of atoms
- V: 16.54 Å³ per atom
- Crystal system: monoclinic